[1]
First-principles (PBE) data for CuNiS after structural relaxation, as listed in the Alexandria database.

Unit cell a=5.695 b=5.638 c=5.053 alpha=90.00 beta=92.61 gamma=90.00
Space group Cc (No. 9)
Unique sites:
Cu  0.000  0.115  0.000 [4 per cell]
Ni  0.386  0.023  0.780 [4 per cell]
S  0.117  0.271  0.570 [4 per cell]

Output
Magnetic moment ... 0.0 μB/f.u.
Excess energy over the best structure of this formula in the dataset ... 38.8 meV per atom
E ... -4.78 eV/atom
Formation energy without anion corrections ... -0.336 eV/f.u.

[2]
First-principles (PBE) data for Cu2NiS6 after structural relaxation, as listed in the Alexandria database.

Unit cell a=4.677 b=6.437 c=6.471 alpha=107.03 beta=100.95 gamma=101.02
Space group P-1 (No. 2)
Unique sites:
Cu  0.003  0.174  0.332 [2 per cell]
Ni  0.500  0.500  0.000 [1 per cell]
S  0.274  0.926  0.426 [2 per cell]
S  0.290  0.582  0.717 [2 per cell]
S  0.292  0.218  0.086 [2 per cell]

Output
Magnetic moment ... 0.0 μB/f.u.
E ... -4.32 eV/atom
Formation energy without anion corrections ... -0.114 eV/f.u.

[3]
First-principles (PBE) data for CuNiS2 after structural relaxation, as listed in the Alexandria database.

Unit cell a=5.924 b=3.397 c=6.889 alpha=90.00 beta=105.75 gamma=90.00
Space group P2_1/m (No. 11)
Unique sites:
Cu  0.175  0.250  0.005 [2 per cell]
Ni  0.249  0.750  0.507 [2 per cell]
S  0.135  0.250  0.683 [2 per cell]
S  0.354  0.250  0.326 [2 per cell]

Output
Magnetic moment ... 0.0 μB/f.u.
E ... -4.72 eV/atom
Formation energy without anion corrections ... -0.755 eV/f.u.

[4]
First-principles (PBE) data for CuNiS2 after structural relaxation, as listed in the Alexandria database.

Unit cell a=3.6387 b=3.6387 c=17.6278 alpha=90.00 beta=90.00 gamma=120.00
Space group R3m (No. 160, hexagonal axes)
Unique sites:
Cu  0.0000  0.0000  0.0000 [3 per cell]
Ni  0.0000  0.0000  0.5024 [3 per cell]
S  0.0000  0.0000  0.3788 [3 per cell]
S  0.0000  0.0000  0.8721 [3 per cell]

Output
Magnetic moment ... 0.0 μB/f.u.
E ... -4.79 eV/atom
Formation energy without anion corrections ... -1.018 eV/f.u.

[5]
First-principles (PBE) data for CuNiS2 after structural relaxation, as listed in the Alexandria database.

Unit cell a=3.368 b=13.756 c=5.721 alpha=90.00 beta=90.00 gamma=90.00
Space group Cmc2_1 (No. 36)
Unique sites:
Cu  0.000  0.071  0.000 [4 per cell]
Ni  0.000  0.333  0.055 [4 per cell]
S  0.000  0.083  0.388 [4 per cell]
S  0.000  0.206  0.793 [4 per cell]

Output
Magnetic moment ... 0.0 μB/f.u.
E ... -4.81 eV/atom
Formation energy without anion corrections ... -1.112 eV/f.u.

[6]
First-principles (PBE) data for CuNiS2 after structural relaxation, as listed in the Alexandria database.

Unit cell a=5.155 b=5.155 c=10.168 alpha=90.00 beta=90.00 gamma=90.00
Space group I-42d (No. 122)
Unique sites:
Cu  0.000  0.000  0.000 [4 per cell]
Ni  0.000  0.000  0.500 [4 per cell]
S  0.234  0.250  0.625 [8 per cell]

Output
Magnetic moment ... 0.0 μB/f.u.
E ... -4.80 eV/atom
Formation energy without anion corrections ... -1.066 eV/f.u.

[7]
First-principles (PBE) data for Cu3NiS3 after structural relaxation, as listed in the Alexandria database.

Unit cell a=8.0838 b=8.0838 c=4.5754 alpha=90.00 beta=90.00 gamma=120.00
Space group P6_3/mmc (No. 194)
Unique sites:
Cu  0.1453  0.2906  0.2500 [6 per cell]
Ni  0.3333  0.6667  0.7500 [2 per cell]
S  0.1819  0.3638  0.7500 [6 per cell]

Output
Magnetic moment ... 0.0 μB/f.u.
E ... -4.40 eV/atom
Formation energy without anion corrections ... -0.373 eV/f.u.

[8]
First-principles (PBE) data for CuNi2S3 after structural relaxation, as listed in the Alexandria database.

Unit cell a=7.232 b=21.826 c=10.100 alpha=90.00 beta=90.00 gamma=90.00
Space group Fdd2 (No. 43)
Unique sites:
Cu  0.001  0.334  0.000 [16 per cell]
Ni  0.000  0.000  0.003 [8 per cell]
Ni  0.000  0.000  0.504 [8 per cell]
Ni  0.002  0.165  0.999 [16 per cell]
S  0.001  0.247  0.873 [16 per cell]
S  0.008  0.418  0.380 [16 per cell]
S  0.009  0.080  0.376 [16 per cell]

Output
Magnetic moment ... 0.0 μB/f.u.
E ... -4.96 eV/atom
Formation energy without anion corrections ... -1.718 eV/f.u.